Material: NaSmDyAl
Method: DFT, PBE-GGA
State: optimized geometry

Properties
Density of states at the Fermi level, states/eV per cell: 4.53
DFT formation energy, eV/atom: -0.042

abc: 5.3336 5.3336 5.3336
angles: 60.00 60.00 60.00
Closest atoms and distances in Å follow each position.
Fractional positions:
Na: 0.2500 0.2500 0.2500  4 Dy 3.27, 4 Sm 3.27
Al: 0.7500 0.7500 0.7500  4 Dy 3.27, 4 Sm 3.27
Dy: 0.5000 0.5000 0.5000  4 Na 3.27, 4 Al 3.27
Sm: 0.0000 0.0000 0.0000  4 Al 3.27, 4 Na 3.27